Computed, not measured: a geometry-optimized BaNi2Pb structure at the PBE level of DFT.

It has space group P4mm (No. 99), with a = 3.426 Å, b = 3.426 Å, c = 7.631 Å, α = 90.00°, β = 90.00° and γ = 90.00°. Symmetry generates all atoms from Ba at (0.000, 0.000, 0.000), Ni at (0.000, 0.000, 0.395), Ni at (0.500, 0.500, 0.278) and Pb at (0.500, 0.500, 0.614).

The value obtained for the calculated total energy is -4.112 eV per atom. The value obtained for the formation energy from the elements is 0.187 eV per atom.



Computed, not measured: a geometry-optimized V2CdBi2 structure at the PBE level of DFT.

It has space group P4/mbm (No. 127), with a = 7.514 Å, b = 7.514 Å, c = 3.783 Å, α = 90.00°, β = 90.00° and γ = 90.00°. Symmetry generates all atoms from V at (0.123, 0.377, 0.000), Cd at (0.000, 0.000, 0.000) and Bi at (0.166, 0.666, 0.500).

The value obtained for the calculated total energy is -5.028 eV per atom. The value obtained for the formation energy from the elements is 0.355 eV per atom.



Computed, not measured: a geometry-optimized Zr5Tl3Hg structure at the PBE level of DFT.

It has space group P6_3/mcm (No. 193), with a = 8.8628 Å, b = 8.8628 Å, c = 6.0360 Å, α = 90.00°, β = 90.00° and γ = 120.00°. Symmetry generates all atoms from Zr at (0.0000, 0.2992, 0.2500), Zr at (0.3333, 0.6667, 0.0000), Tl at (0.0000, 0.3678, 0.7500) and Hg at (0.0000, 0.0000, 0.0000).

The value obtained for the calculated total energy is -5.684 eV per atom. The value obtained for the formation energy from the elements is -0.113 eV per atom.



Computed, not measured: a geometry-optimized CdTe2N structure at the PBE level of DFT.

It has space group I-42d (No. 122), with a = 5.789 Å, b = 5.789 Å, c = 12.774 Å, α = 90.00°, β = 90.00° and γ = 90.00°. Symmetry generates all atoms from Cd at (0.000, 0.000, 0.000), Te at (0.155, 0.250, 0.625) and N at (0.000, 0.000, 0.500).

The value obtained for the calculated total energy is -3.303 eV per atom. For the formation energy without anion corrections, the calculation gives 0.578 eV per atom.



Computed, not measured: a geometry-optimized AlCr2Ag structure at the PBE level of DFT.

It has space group C2/m (No. 12), with a = 9.449 Å, b = 3.154 Å, c = 4.057 Å, α = 90.00°, β = 111.27° and γ = 90.00°. Symmetry generates all atoms from Al at (0.000, 0.000, 0.000), Cr at (0.245, 0.500, 0.199) and Ag at (0.000, 0.500, 0.500).

The value obtained for the calculated total energy is -6.170 eV per atom. The value obtained for the formation energy from the elements is 0.291 eV per atom.



Computed, not measured: a geometry-optimized TaNb3Sn2 structure at the PBE level of DFT.

It has space group Pnma (No. 62), with a = 7.093 Å, b = 4.624 Å, c = 14.187 Å, α = 90.00°, β = 90.00° and γ = 90.00°. Symmetry generates all atoms from Ta at (0.001, 0.250, 0.092), Nb at (0.002, 0.750, 0.593), Nb at (0.248, 0.250, 0.246), Nb at (0.249, 0.750, 0.077), Sn at (0.002, 0.250, 0.750) and Sn at (0.247, 0.750, 0.432).

The value obtained for the calculated total energy is -8.361 eV per atom. The value obtained for the formation energy from the elements is -0.017 eV per atom.



Computed, not measured: a geometry-optimized IrPdCl3 structure at the PBE level of DFT.

It has space group Pm-3m (No. 221), with a = 4.795 Å, b = 4.795 Å, c = 4.795 Å, α = 90.00°, β = 90.00° and γ = 90.00°. Symmetry generates all atoms from Ir at (0.000, 0.000, 0.000), Pd at (0.500, 0.500, 0.500) and Cl at (0.000, 0.000, 0.500).

The value obtained for the calculated total energy is -3.489 eV per atom. For the formation energy without anion corrections, the calculation gives 0.430 eV per atom.



Computed, not measured: a geometry-optimized La2TeAs3Rh4 structure at the PBE level of DFT.

It has space group P-4m2 (No. 115), with a = 4.406 Å, b = 4.406 Å, c = 10.215 Å, α = 90.00°, β = 90.00° and γ = 90.00°. Symmetry generates all atoms from La at (0.000, 0.500, 0.240), Te at (0.000, 0.000, 0.500), As at (0.000, 0.500, 0.869), As at (0.500, 0.500, 0.500), Rh at (0.000, 0.000, 0.000), Rh at (0.000, 0.500, 0.630) and Rh at (0.500, 0.500, 0.000).

The value obtained for the calculated total energy is -6.531 eV per atom. For the formation energy without anion corrections, the calculation gives -0.896 eV per atom.



Computed, not measured: a geometry-optimized GdZrCoOs structure at the PBE level of DFT.

It has space group F-43m (No. 216), with a = 6.649 Å, b = 6.649 Å, c = 6.649 Å, α = 90.00°, β = 90.00° and γ = 90.00°. Symmetry generates all atoms from Gd at (0.000, 0.000, 0.000), Zr at (0.000, 0.000, 0.500), Co at (0.250, 0.250, 0.250) and Os at (0.250, 0.250, 0.750).

The value obtained for the calculated total energy is -10.447 eV per atom. The value obtained for the formation energy from the elements is -0.206 eV per atom.



Computed, not measured: a geometry-optimized CsZrTa2V structure at the PBE level of DFT.

It has space group P4/mmm (No. 123), with a = 4.857 Å, b = 4.857 Å, c = 5.303 Å, α = 90.00°, β = 90.00° and γ = 90.00°. Symmetry generates all atoms from Cs at (0.000, 0.000, 0.000), Zr at (0.500, 0.500, 0.000), Ta at (0.000, 0.500, 0.500) and V at (0.500, 0.500, 0.500).

The value obtained for the calculated total energy is -6.979 eV per atom. The value obtained for the formation energy from the elements is 1.466 eV per atom.



Which formula does entry 1 have? BaNi2Pb